The following is a DFT calculation (PBE) of an optimized crystal structure of In2FePd9.

Lattice parameters (Å, degrees): 4.0002 4.0002 11.8977 90.00 90.00 90.00
Space group P4/mmm (No. 123)
Asymmetric unit:
In 0.0000 0.0000 0.1707 x2
Fe 0.0000 0.0000 0.5000 x1
Pd 0.0000 0.5000 0.0000 x2
Pd 0.0000 0.5000 0.3442 x4
Pd 0.5000 0.5000 0.1722 x2
Pd 0.5000 0.5000 0.5000 x1

Values from the calculation:
- E (eV per atom) = -5.3746